# 1
# PBE LiY2Os, relaxed
data_LiY2Os
_symmetry_space_group_name_H-M 'I m m 2'
_symmetry_Int_Tables_number 44
_cell_length_a 3.461
_cell_length_b 4.883
_cell_length_c 10.710
_cell_angle_alpha 90.00
_cell_angle_beta 90.00
_cell_angle_gamma 90.00
loop_
_symmetry_equiv_pos_as_xyz
'x,y,z'
'-x,-y,z'
'-x,y,z'
'x,-y,z'
'x+1/2,y+1/2,z+1/2'
'-x+1/2,-y+1/2,z+1/2'
'-x+1/2,y+1/2,z+1/2'
'x+1/2,-y+1/2,z+1/2'
loop_
_atom_site_label
_atom_site_type_symbol
_atom_site_fract_x
_atom_site_fract_y
_atom_site_fract_z
Li1 Li 0.000 0.000 0.000
Y1 Y 0.000 0.000 0.400
Y2 Y 0.000 0.500 0.196
Os1 Os 0.000 0.500 0.691
# Formation enthalpy at 0 K ... 0.0429 eV/atom
# Uncorrected energy ... -51.80 eV/cell
# Offset from the most stable computed form ... 255.3 meV/atom

***

# 2
# PBE LiY2Os, relaxed
data_LiY2Os
_symmetry_space_group_name_H-M 'R -3 m'
_symmetry_Int_Tables_number 166
_symmetry_space_group_name_Hall '-R 3 2"'
_cell_length_a 4.0088
_cell_length_b 4.0088
_cell_length_c 24.8986
_cell_angle_alpha 90.00
_cell_angle_beta 90.00
_cell_angle_gamma 120.00
loop_
_atom_site_label
_atom_site_type_symbol
_atom_site_fract_x
_atom_site_fract_y
_atom_site_fract_z
Li1 Li 0.0000 0.0000 0.0000
Y1 Y 0.0000 0.0000 0.2266
Os1 Os 0.0000 0.0000 0.5000
# Formation enthalpy at 0 K ... 0.1286 eV/atom
# Uncorrected energy ... -76.67 eV/cell
# Offset from the most stable computed form ... 341.0 meV/atom

***

# 3
# PBE Li3YOs, relaxed
data_Li3YOs
_symmetry_space_group_name_H-M 'P m -3 m'
_symmetry_Int_Tables_number 221
_symmetry_space_group_name_Hall '-P 4 2 3'
_cell_length_a 4.421
_cell_length_b 4.421
_cell_length_c 4.421
_cell_angle_alpha 90.00
_cell_angle_beta 90.00
_cell_angle_gamma 90.00
loop_
_atom_site_label
_atom_site_type_symbol
_atom_site_fract_x
_atom_site_fract_y
_atom_site_fract_z
Li1 Li 0.000 0.000 0.500
Y1 Y 0.000 0.000 0.000
Os1 Os 0.500 0.500 0.500
# Formation enthalpy at 0 K ... 1.9074 eV/atom
# Uncorrected energy ... -13.90 eV/cell
# Offset from the most stable computed form ... 1195.6 meV/atom

***

# 4
# PBE Li3YOs, relaxed
data_Li3YOs
_symmetry_space_group_name_H-M 'P m -3 m'
_symmetry_Int_Tables_number 221
_symmetry_space_group_name_Hall '-P 4 2 3'
_cell_length_a 4.612
_cell_length_b 4.612
_cell_length_c 4.612
_cell_angle_alpha 90.00
_cell_angle_beta 90.00
_cell_angle_gamma 90.00
loop_
_atom_site_label
_atom_site_type_symbol
_atom_site_fract_x
_atom_site_fract_y
_atom_site_fract_z
Li1 Li 0.000 0.000 0.500
Y1 Y 0.500 0.500 0.500
Os1 Os 0.000 0.000 0.000
# Formation enthalpy at 0 K ... 0.7118 eV/atom
# Uncorrected energy ... -19.88 eV/cell
# Offset from the most stable computed form ... 0.0 meV/atom

***

Look up the formation enthalpy at 0 K of the fourth one.
0.7118 eV/atom

***

The highest uncorrected energy belongs to which entry?
number 3